(1)
# SrFeS2N GGA-PBE optimized geometry
# * relative energy among the computed polymorphs: 1817 meV/atom
# * V: 145.3 Å³ per cell
# * total magnetic moment: 6.98 μB/cell
# * uncorrected formation energy: 124.6 kJ/mol of atoms
data_SrFeS2N
_chemical_formula_sum 'Sr1 Fe1 S2 N1'
_cell_length_a 5.556
_cell_length_b 5.556
_cell_length_c 4.706
_cell_angle_alpha 90.00
_cell_angle_beta 90.00
_cell_angle_gamma 90.00
_space_group_name_H-M_alt 'P 4/m m m'
_space_group_IT_number 123
_space_group_name_Hall '-P 4 2'
loop_
_atom_site_label
_atom_site_type_symbol
_atom_site_fract_x
_atom_site_fract_y
_atom_site_fract_z
_atom_site_occupancy
Sr1 Sr 0.000 0.000 0.000 1
Fe1 Fe 0.500 0.500 0.500 1
S1 S 0.000 0.500 0.000 1
N1 N 0.000 0.000 0.500 1

=====

(2)
# SrFeS2N GGA-PBE optimized geometry
# * relative energy among the computed polymorphs: 0 meV/atom
# * V: 85.1 Å³ per cell
# * total magnetic moment: 1.39 μB/cell
# * uncorrected formation energy: -50.7 kJ/mol of atoms
data_SrFeS2N
_chemical_formula_sum 'Sr1 Fe1 S2 N1'
_cell_length_a 4.886
_cell_length_b 4.886
_cell_length_c 3.566
_cell_angle_alpha 90.00
_cell_angle_beta 90.00
_cell_angle_gamma 90.00
_space_group_name_H-M_alt 'P 4/m m m'
_space_group_IT_number 123
_space_group_name_Hall '-P 4 2'
loop_
_atom_site_label
_atom_site_type_symbol
_atom_site_fract_x
_atom_site_fract_y
_atom_site_fract_z
_atom_site_occupancy
Sr1 Sr 0.000 0.000 0.000 1
Fe1 Fe 0.500 0.500 0.500 1
S1 S 0.000 0.500 0.500 1
N1 N 0.500 0.500 0.000 1

=====

(3)
# TaFeSN2 GGA-PBE optimized geometry
# * relative energy among the computed polymorphs: 0 meV/atom
# * V: 79.8 Å³ per cell
# * total magnetic moment: 4.40 μB/cell
# * uncorrected formation energy: 37.2 kJ/mol of atoms
data_TaFeSN2
_chemical_formula_sum 'Ta1 Fe1 S1 N2'
_cell_length_a 3.958
_cell_length_b 3.958
_cell_length_c 5.092
_cell_angle_alpha 90.00
_cell_angle_beta 90.00
_cell_angle_gamma 90.00
_space_group_name_H-M_alt 'P 4/m m m'
_space_group_IT_number 123
_space_group_name_Hall '-P 4 2'
loop_
_atom_site_label
_atom_site_type_symbol
_atom_site_fract_x
_atom_site_fract_y
_atom_site_fract_z
_atom_site_occupancy
Ta1 Ta 0.000 0.000 0.000 1
Fe1 Fe 0.500 0.500 0.500 1
S1 S 0.000 0.000 0.500 1
N1 N 0.000 0.500 0.000 1

=====

no.,total energy (eV/f.u.)
1,-20.27
2,-29.35
3,-39.17